Entry 1:
# PrNbPd (PBE-GGA, relaxed)
# mass density	8.34	g/cm³
# formation enthalpy at 0 K	-0.20	eV per formula unit
data_PrNbPd
_chemical_formula_sum 'Pr4 Nb4 Pd4'
_symmetry_space_group_name_H-M 'C m m m'
_symmetry_Int_Tables_number 65
_symmetry_space_group_name_Hall '-C 2 2'
_cell_length_a 5.0190
_cell_length_b 5.0410
_cell_length_c 10.7164
_cell_angle_alpha 90.00
_cell_angle_beta 90.00
_cell_angle_gamma 90.00
loop_
_atom_site_label
_atom_site_type_symbol
_atom_site_fract_x
_atom_site_fract_y
_atom_site_fract_z
Pr1 Pr 0.0000 0.0000 0.1743
Nb1 Nb 0.0000 0.5000 0.3833
Pd1 Pd 0.0000 0.0000 0.5000
Pd2 Pd 0.0000 0.5000 0.0000



Entry 2:
# NbPd3Pt7 (PBE-GGA, relaxed)
# mass density	15.54	g/cm³
# formation enthalpy at 0 K	0.52	eV per formula unit
data_NbPd3Pt7
_chemical_formula_sum 'Nb2 Pd6 Pt14'
_symmetry_space_group_name_H-M 'I m m m'
_symmetry_Int_Tables_number 71
_symmetry_space_group_name_Hall '-I 2 2'
_cell_length_a 4.8398
_cell_length_b 8.1470
_cell_length_c 9.6333
_cell_angle_alpha 90.00
_cell_angle_beta 90.00
_cell_angle_gamma 90.00
loop_
_atom_site_label
_atom_site_type_symbol
_atom_site_fract_x
_atom_site_fract_y
_atom_site_fract_z
Nb1 Nb 0.0000 0.0000 0.0000
Pd1 Pd 0.0000 0.0000 0.5000
Pd2 Pd 0.0000 0.5000 0.2328
Pt1 Pt 0.0000 0.1676 0.2495
Pt2 Pt 0.0000 0.3235 0.0000
Pt3 Pt 0.0000 0.5000 0.5000



Entry 3:
# NbPd3Pt (PBE-GGA, relaxed)
# mass density	9.45	g/cm³
# formation enthalpy at 0 K	5.61	eV per formula unit
data_NbPd3Pt
_chemical_formula_sum 'Nb1 Pd3 Pt1'
_symmetry_space_group_name_H-M 'P m -3 m'
_symmetry_Int_Tables_number 221
_symmetry_space_group_name_Hall '-P 4 2 3'
_cell_length_a 4.7435
_cell_length_b 4.7435
_cell_length_c 4.7435
_cell_angle_alpha 90.00
_cell_angle_beta 90.00
_cell_angle_gamma 90.00
loop_
_atom_site_label
_atom_site_type_symbol
_atom_site_fract_x
_atom_site_fract_y
_atom_site_fract_z
Nb1 Nb 0.0000 0.0000 0.0000
Pd1 Pd 0.0000 0.0000 0.5000
Pt1 Pt 0.5000 0.5000 0.5000



Entry 4:
# NbPdPt4 (PBE-GGA, relaxed)
# mass density	16.78	g/cm³
# formation enthalpy at 0 K	-1.74	eV per formula unit
data_NbPdPt4
_chemical_formula_sum 'Nb2 Pd2 Pt8'
_symmetry_space_group_name_H-M 'C m m m'
_symmetry_Int_Tables_number 65
_symmetry_space_group_name_Hall '-C 2 2'
_cell_length_a 4.5207
_cell_length_b 7.7993
_cell_length_c 5.5002
_cell_angle_alpha 90.00
_cell_angle_beta 90.00
_cell_angle_gamma 90.00
loop_
_atom_site_label
_atom_site_type_symbol
_atom_site_fract_x
_atom_site_fract_y
_atom_site_fract_z
Nb1 Nb 0.0000 0.0000 0.0000
Pd1 Pd 0.0000 0.0000 0.5000
Pt1 Pt 0.0000 0.3330 0.2542



Entry 5:
# NbPd4Pt2 (PBE-GGA, relaxed)
# mass density	13.64	g/cm³
# formation enthalpy at 0 K	-2.14	eV per formula unit
data_NbPd4Pt2
_chemical_formula_sum 'Nb2 Pd8 Pt4'
_symmetry_space_group_name_H-M 'P 1'
_symmetry_Int_Tables_number 1
_symmetry_space_group_name_Hall 'P 1'
_cell_length_a 5.4577
_cell_length_b 6.6153
_cell_length_c 7.3875
_cell_angle_alpha 116.25
_cell_angle_beta 98.28
_cell_angle_gamma 104.59
loop_
_atom_site_label
_atom_site_type_symbol
_atom_site_fract_x
_atom_site_fract_y
_atom_site_fract_z
Nb1 Nb 0.0000 0.0000 0.0000
Nb2 Nb 0.2679 0.7033 0.6550
Pd1 Pd 0.1030 0.5962 0.9506
Pd2 Pd 0.4282 0.4071 0.1236
Pd3 Pd 0.5298 0.0094 0.0900
Pd4 Pd 0.5781 0.5584 0.8519
Pd5 Pd 0.6913 0.1421 0.8027
Pd6 Pd 0.7323 0.6867 0.5614
Pd7 Pd 0.8382 0.2945 0.5287
Pd8 Pd 0.9607 0.4370 0.2395
Pt1 Pt 0.1631 0.0987 0.7019
Pt2 Pt 0.3038 0.2642 0.4128
Pt3 Pt 0.3943 0.8539 0.3799
Pt4 Pt 0.8712 0.8489 0.2747



Entry 6:
# NbPd2Pt (PBE-GGA, relaxed)
# mass density	13.13	g/cm³
# formation enthalpy at 0 K	-2.10	eV per formula unit
data_NbPd2Pt
_chemical_formula_sum 'Nb2 Pd4 Pt2'
_symmetry_space_group_name_H-M 'P m m n'
_symmetry_Int_Tables_number 59
_cell_length_a 4.6051
_cell_length_b 5.5489
_cell_length_c 4.9575
_cell_angle_alpha 90.00
_cell_angle_beta 90.00
_cell_angle_gamma 90.00
loop_
_symmetry_equiv_pos_as_xyz
'x,y,z'
'-x,-y,-z'
'-x+1/2,-y+1/2,z'
'x+1/2,y+1/2,-z'
'x+1/2,-y,-z'
'-x+1/2,y,z'
'-x,y+1/2,-z'
'x,-y+1/2,z'
loop_
_atom_site_label
_atom_site_type_symbol
_atom_site_fract_x
_atom_site_fract_y
_atom_site_fract_z
Nb1 Nb 0.2500 0.2500 0.1490
Pd1 Pd 0.2500 0.9997 0.6570
Pt1 Pt 0.2500 0.7500 0.1533



Entry 7:
# NbPd2Pt (PBE-GGA, relaxed)
# mass density	11.90	g/cm³
# formation enthalpy at 0 K	0.31	eV per formula unit
data_NbPd2Pt
_chemical_formula_sum 'Nb4 Pd8 Pt4'
_symmetry_space_group_name_H-M 'I -4 2 d'
_symmetry_Int_Tables_number 122
_symmetry_space_group_name_Hall 'I -4 2bw'
_cell_length_a 7.1970
_cell_length_b 7.1970
_cell_length_c 5.3989
_cell_angle_alpha 90.00
_cell_angle_beta 90.00
_cell_angle_gamma 90.00
loop_
_atom_site_label
_atom_site_type_symbol
_atom_site_fract_x
_atom_site_fract_y
_atom_site_fract_z
Nb1 Nb 0.0000 0.0000 0.0000
Pd1 Pd 0.2384 0.7500 0.1250
Pt1 Pt 0.0000 0.0000 0.5000



Entry 8:
# NbPd4Pt4 (PBE-GGA, relaxed)
# mass density	15.30	g/cm³
# formation enthalpy at 0 K	-3.18	eV per formula unit
data_NbPd4Pt4
_chemical_formula_sum 'Nb2 Pd8 Pt8'
_symmetry_space_group_name_H-M 'I 4/m m m'
_symmetry_Int_Tables_number 139
_symmetry_space_group_name_Hall '-I 4 2'
_cell_length_a 8.4137
_cell_length_b 8.4137
_cell_length_c 3.9835
_cell_angle_alpha 90.00
_cell_angle_beta 90.00
_cell_angle_gamma 90.00
loop_
_atom_site_label
_atom_site_type_symbol
_atom_site_fract_x
_atom_site_fract_y
_atom_site_fract_z
Nb1 Nb 0.0000 0.0000 0.0000
Pd1 Pd 0.0000 0.3307 0.0000
Pt1 Pt 0.1634 0.1634 0.5000



no.,final energy (eV per atom)
1,-6.7465
2,-6.1283
3,-5.2165
4,-6.8609
5,-6.4378
6,-7.1481
7,-6.5456
8,-6.4644